No. 1
A relaxed TmHfU2N4 crystal, computed with GGA-PBE.

Unit cell a=3.3272 b=5.7893 c=5.9348 alpha=108.83 beta=90.00 gamma=90.00
Closest atoms and distances in Å follow each position.
Fractional positions:
Tm: 0.5000 0.5000 0.0000  6 N 2.38
Hf: 0.0000 0.0000 0.0000  6 N 2.29-2.30
U: 0.5000 0.0000 0.5000  6 N 2.39
U: 0.0000 0.5000 0.5000  6 N 2.47
N: 0.5000 0.2333 0.2324  2 Hf 2.30, 1 Tm 2.38, 3 U 2.39-2.47
N: 0.5000 0.7667 0.7676  2 Hf 2.30, 1 Tm 2.38, 3 U 2.39-2.47
N: 0.0000 0.2412 0.7602  1 Hf 2.29, 2 Tm 2.38, 3 U 2.39-2.47
N: 0.0000 0.7588 0.2398  1 Hf 2.29, 2 Tm 2.38, 3 U 2.39-2.47

## Properties
**Raw formation energy**: -1.5543 eV per atom
**DFT total energy**: -10.3422 eV/atom

***

No. 2
A relaxed YTm2HfN4 crystal, computed with GGA-PBE.

Unit cell a=4.7101 b=4.7103 c=5.6460 alpha=89.95 beta=90.00 gamma=90.00
Closest atoms and distances in Å follow each position.
Fractional positions:
Y: 0.5000 0.5000 0.0000  2 N 2.13
Tm: 0.5000 0.0000 0.5000  8 N 2.45-2.46
Tm: 0.0000 0.5000 0.5000  8 N 2.46
Hf: 0.0000 0.0000 0.0000  2 N 2.10
N: 0.5000 0.5001 0.6232  1 N 1.39
N: 0.5000 0.4999 0.3768  1 N 1.39
N: 0.0000 0.0001 0.6275  1 N 1.44
N: 0.0000 0.9999 0.3725  1 N 1.44

## Properties
**Raw formation energy**: -0.8340 eV per atom
**DFT total energy**: -8.1668 eV/atom

***

No. 3
A relaxed Y2TmHf3N6 crystal, computed with GGA-PBE.

Unit cell a=3.2996 b=6.6581 c=7.4434 alpha=103.72 beta=102.81 gamma=90.00
Closest atoms and distances in Å follow each position.
Fractional positions:
Y: 0.8335 0.6667 0.6669  6 N 2.43-2.44
Y: 0.1665 0.3333 0.3331  6 N 2.43-2.44
Tm: 0.5000 0.0000 0.0000  6 N 2.40
Hf: 0.5000 0.5000 0.0000  6 N 2.26-2.29
Hf: 0.8337 0.1670 0.6673  6 N 2.26-2.30
Hf: 0.1663 0.8330 0.3327  6 N 2.26-2.30
N: 0.3295 0.9322 0.6591  3 Hf 2.26-2.30, 1 Tm 2.40, 2 Y 2.43
N: 0.6606 0.5978 0.3211  3 Hf 2.26, 3 Y 2.43-2.44
N: 0.6705 0.0678 0.3409  3 Hf 2.26-2.30, 1 Tm 2.40, 2 Y 2.43
N: 0.9943 0.2588 0.9887  3 Hf 2.26-2.29, 2 Tm 2.40, 1 Y 2.43
N: 0.0057 0.7412 0.0113  3 Hf 2.26-2.29, 2 Tm 2.40, 1 Y 2.43
N: 0.3394 0.4022 0.6789  3 Hf 2.26, 3 Y 2.43-2.44

## Properties
**Raw formation energy**: -1.7995 eV per atom
**DFT total energy**: -9.9006 eV/atom

***

No. 4
A relaxed YTm2Hf3N6 crystal, computed with GGA-PBE.

Unit cell a=5.6990 b=5.6990 c=5.7604 alpha=99.52 beta=99.52 gamma=119.95
Closest atoms and distances in Å follow each position.
Fractional positions:
Y: 0.0000 0.0000 0.0000  6 N 2.42
Tm: 0.3332 0.6668 0.0000  6 N 2.39-2.40
Tm: 0.6668 0.3332 0.0000  6 N 2.39-2.40
Hf: 0.1672 0.8328 0.5000  6 N 2.25-2.28
Hf: 0.8328 0.1672 0.5000  6 N 2.25-2.28
Hf: 0.5000 0.5000 0.5000  6 N 2.25-2.28
N: 0.9099 0.5725 0.7296  3 Hf 2.25-2.28, 2 Tm 2.39, 1 Y 2.42
N: 0.7531 0.7531 0.2710  3 Hf 2.25-2.28, 2 Tm 2.40, 1 Y 2.42
N: 0.0901 0.4275 0.2704  3 Hf 2.25-2.28, 2 Tm 2.39, 1 Y 2.42
N: 0.5725 0.9099 0.7296  3 Hf 2.25-2.28, 2 Tm 2.39, 1 Y 2.42
N: 0.2469 0.2469 0.7290  3 Hf 2.25-2.28, 2 Tm 2.40, 1 Y 2.42
N: 0.4275 0.0901 0.2704  3 Hf 2.25-2.28, 2 Tm 2.39, 1 Y 2.42

## Properties
**Raw formation energy**: -1.8218 eV per atom
**DFT total energy**: -9.7567 eV/atom

***

No. 5
A relaxed YTm3Hf2N6 crystal, computed with GGA-PBE.

Unit cell a=3.3313 b=6.6954 c=7.4596 alpha=103.02 beta=102.90 gamma=90.00
Closest atoms and distances in Å follow each position.
Fractional positions:
Y: 0.5000 0.0000 0.0000  6 N 2.39-2.40
Tm: 0.5000 0.5000 0.0000  6 N 2.34-2.43
Tm: 0.8334 0.1671 0.6668  6 N 2.32-2.46
Tm: 0.1666 0.8329 0.3332  6 N 2.32-2.46
Hf: 0.8328 0.6655 0.6656  6 N 2.26-2.30
Hf: 0.1672 0.3345 0.3344  6 N 2.26-2.30
N: 0.3304 0.9001 0.6608  2 Hf 2.29, 3 Tm 2.32-2.44, 1 Y 2.40
N: 0.6713 0.5735 0.3427  3 Hf 2.29-2.30, 3 Tm 2.42-2.43
N: 0.6696 0.0999 0.3392  2 Hf 2.29, 3 Tm 2.32-2.44, 1 Y 2.40
N: 0.0073 0.2589 0.0146  1 Hf 2.26, 3 Tm 2.34-2.46, 2 Y 2.39
N: 0.9927 0.7411 0.9854  1 Hf 2.26, 3 Tm 2.34-2.46, 2 Y 2.39
N: 0.3287 0.4265 0.6573  3 Hf 2.29-2.30, 3 Tm 2.42-2.43

## Properties
**Raw formation energy**: -1.8183 eV per atom
**DFT total energy**: -9.2964 eV/atom

***

No. 6
A relaxed Tm2HfZrN4 crystal, computed with GGA-PBE.

Unit cell a=3.2975 b=5.7105 c=5.7558 alpha=109.30 beta=90.00 gamma=90.00
Closest atoms and distances in Å follow each position.
Fractional positions:
Tm: 0.5000 0.0000 0.5000  6 N 2.37
Tm: 0.0000 0.5000 0.5000  6 N 2.40
Hf: 0.0000 0.0000 0.0000  6 N 2.28
Zr: 0.5000 0.5000 0.0000  6 N 2.31
N: 0.5000 0.2408 0.2345  2 Hf 2.28, 1 Zr 2.31, 3 Tm 2.37-2.40
N: 0.5000 0.7592 0.7655  2 Hf 2.28, 1 Zr 2.31, 3 Tm 2.37-2.40
N: 0.0000 0.2492 0.7624  1 Hf 2.28, 2 Zr 2.31, 3 Tm 2.37-2.40
N: 0.0000 0.7508 0.2376  1 Hf 2.28, 2 Zr 2.31, 3 Tm 2.37-2.40

## Properties
**Raw formation energy**: -1.8146 eV per atom
**DFT total energy**: -9.4078 eV/atom

***

Question: Number 4 is which compound?
Answer: YTm2Hf3N6

***

Copy entry 6 word for word.
A relaxed Tm2HfZrN4 crystal, computed with GGA-PBE.

Unit cell a=3.2975 b=5.7105 c=5.7558 alpha=109.30 beta=90.00 gamma=90.00
Closest atoms and distances in Å follow each position.
Fractional positions:
Tm: 0.5000 0.0000 0.5000  6 N 2.37
Tm: 0.0000 0.5000 0.5000  6 N 2.40
Hf: 0.0000 0.0000 0.0000  6 N 2.28
Zr: 0.5000 0.5000 0.0000  6 N 2.31
N: 0.5000 0.2408 0.2345  2 Hf 2.28, 1 Zr 2.31, 3 Tm 2.37-2.40
N: 0.5000 0.7592 0.7655  2 Hf 2.28, 1 Zr 2.31, 3 Tm 2.37-2.40
N: 0.0000 0.2492 0.7624  1 Hf 2.28, 2 Zr 2.31, 3 Tm 2.37-2.40
N: 0.0000 0.7508 0.2376  1 Hf 2.28, 2 Zr 2.31, 3 Tm 2.37-2.40

## Properties
**Raw formation energy**: -1.8146 eV per atom
**DFT total energy**: -9.4078 eV/atom

***

Question: Among the records above, which one has the highest DFT total energy?
Answer: YTm2HfN4

***

Question: Among the records above, which one has the highest DFT total energy?
Answer: YTm2HfN4